w) Crystalline Ta3TiGe at its relaxed geometry. Source: Alexandria, functional GGA-PBE.

Geometry as POSCAR:
```
Ta3TiGe
1.0
-2.119 4.148 0.821
-1.835 -0.075 -4.359
-3.810 -2.271 1.643
Ta Ti Ge
3 1 1
Cartesian
-1.060 2.074 0.411 Ta
-1.905 -1.136 0.821 Ta
-0.918 -0.037 -2.180 Ta
-3.882 0.901 -0.947 Ti
0.000 0.000 0.000 Ge
```

As for the crystal system: cubic.


x) Crystalline Ta3TiGe at its relaxed geometry. Source: Alexandria, functional GGA-PBE.

Geometry as POSCAR:
```
Ta3TiGe
1.0
-4.234 0.566 -1.951
1.322 -2.656 -3.640
-1.542 -3.831 2.236
Ta Ge Ti
3 1 1
Cartesian
-2.117 0.283 -0.975 Ta
0.661 -1.328 -1.820 Ta
-0.771 -1.915 1.118 Ta
-2.227 -2.961 -1.677 Ge
0.000 0.000 0.000 Ti
```

As for the crystal system: cubic.


The structure with the greatest stability is w).


w) Crystalline TaTlGe2 at its relaxed geometry. Source: Alexandria, functional GGA-PBE.

Geometry as POSCAR:
```
TaTlGe2
1.0
6.145 0.000 0.000
0.000 6.145 0.000
3.073 3.073 6.184
Ge Tl Ta
4 2 2
Cartesian
4.609 4.860 4.638 Ge
7.682 7.431 4.638 Ge
4.358 1.536 1.546 Ge
1.788 4.609 1.546 Ge
6.145 3.073 3.092 Tl
0.000 0.000 0.000 Tl
3.073 3.073 0.000 Ta
3.073 6.145 3.092 Ta
```

As for the crystal system: tetragonal.


x) Crystalline TaTlGe2 at its relaxed geometry. Source: Alexandria, functional GGA-PBE.

Geometry as POSCAR:
```
TaTlGe2
1.0
0.000 3.429 3.429
3.429 0.000 3.429
3.429 3.429 0.000
Ge Ta Tl
2 1 1
Cartesian
1.715 1.715 1.715 Ge
5.144 5.144 5.144 Ge
0.000 0.000 0.000 Ta
3.429 3.429 3.429 Tl
```

As for the crystal system: cubic.


The structure with the greatest stability is x).


w) Crystalline Ta3TlGe at its relaxed geometry. Source: Alexandria, functional GGA-PBE.

Geometry as POSCAR:
```
Ta3TlGe
1.0
4.783 0.000 0.000
0.000 4.783 0.000
0.000 0.000 4.783
Ta Ge Tl
3 1 1
Cartesian
0.000 0.000 2.391 Ta
2.391 0.000 0.000 Ta
0.000 2.391 0.000 Ta
0.000 0.000 0.000 Ge
2.391 2.391 2.391 Tl
```

As for the crystal system: cubic.


x) Crystalline Ta3TlGe at its relaxed geometry. Source: Alexandria, functional GGA-PBE.

Geometry as POSCAR:
```
Ta3TlGe
1.0
-2.081 1.534 4.376
-1.293 -4.798 1.067
4.453 -0.676 2.355
Ta Ge Tl
3 1 1
Cartesian
-0.646 -2.399 0.534 Ta
2.226 -0.338 1.177 Ta
-1.040 0.767 2.188 Ta
0.540 -1.970 3.899 Ge
0.000 0.000 0.000 Tl
```

As for the crystal system: cubic.


The structure with the greatest stability is w).